[1]
3
Lattice="4.4191 0.0000 0.0000 -2.2096 3.8271 0.0000 0.0000 0.0000 3.0164" Properties=species:S:1:pos:R:3 comment="TaAlAu | Alexandria via LeMat-Bulk | PBE-GGA | optimized geometry" ef_mev_per_atom=-158 mass_density_g_cm3=13.180 pbc="T T T"
Au 2.2096 1.2757 0.5034
Ta 0.0000 2.5514 2.0103
Al 0.0000 0.0000 0.5027



[2]
12
Lattice="-2.4324 -4.0203 1.9365 2.9790 0.1469 4.1579 -4.4289 4.1376 3.0270" Properties=species:S:1:pos:R:3 comment="HoBi2IrO8 | Alexandria via LeMat-Bulk | PBE-GGA | optimized geometry" raw_formation_energy_ev_per_atom=-1.42 mass_density_g_cm3=8.512 pbc="T T T"
Ho -2.2144 2.0688 1.5135
Bi -0.8170 -0.9182 3.7925
Bi -3.0653 1.1824 5.3288
O -4.8832 -0.1316 4.8135
O 1.0009 0.3958 4.3078
O -2.4314 -2.4220 3.1375
O -0.0333 -1.1361 1.5047
O -1.4509 2.6861 5.9838
O -1.7572 -0.5372 5.7450
O -2.1251 0.8013 3.3764
O -3.8490 1.4003 7.6166
Ir 0.0000 0.0000 0.0000



[3]
7
Lattice="-0.9018 3.1751 3.9652 -6.3142 -0.4094 -1.1083 1.6184 -4.6678 4.1058" Properties=species:S:1:pos:R:3 comment="Pr4Zn2Ag | Alexandria via LeMat-Bulk | PBE-GGA | optimized geometry" ef_mev_per_atom=-140 mass_density_g_cm3=6.586 pbc="T T T"
Pr -3.5618 -3.8511 2.2736
Pr -1.1340 -1.2261 0.7239
Pr -3.6080 1.3828 1.4285
Pr 0.3583 -0.7464 4.0355
Ag -2.7988 -0.9511 3.4813
Zn -0.4008 -3.5838 2.7785
Zn -4.2950 -1.4934 0.2189



Number 1: M_tot 0.00 μB/f.u., V 17.00 Å³ per atom, DOS(E_F) 0.700 states/eV per atom. Number 2: M_tot 0.86 μB/f.u., V 14.68 Å³ per atom, DOS(E_F) 0.462 states/eV per atom. Number 3: M_tot 0.20 μB/f.u., V 28.90 Å³ per atom, DOS(E_F) 1.597 states/eV per atom.